Record 1
# PmClO | Alexandria via LeMat-Bulk | GGA-PBE | relaxed
data_PmClO
_symmetry_space_group_name_H-M 'P m m a'
_symmetry_Int_Tables_number 51
_symmetry_space_group_name_Hall '-P 2a 2a'
_cell_length_a 10.1244
_cell_length_b 3.2989
_cell_length_c 3.5319
_cell_angle_alpha 90.00
_cell_angle_beta 90.00
_cell_angle_gamma 90.00
loop_
_atom_site_label
_atom_site_fract_x
_atom_site_fract_y
_atom_site_fract_z
Pm1 0.2500 0.0000 0.0021
Cl1 0.0000 0.5000 0.0000
O1 0.2500 0.5000 0.5004
# Density in g/cm3: 5.53
# Total magnetic moment in μB per atom: 0.000
# Uncorrected formation energy in eV per atom: -2.609
# Calculated volume in Å³/cell: 118.0
# Crystal system: orthorhombic



Record 2
# NbTeH2PdI | Alexandria via LeMat-Bulk | GGA-PBE | relaxed
data_NbTeH2PdI
_symmetry_space_group_name_H-M 'P 1 m 1'
_symmetry_Int_Tables_number 6
_symmetry_space_group_name_Hall 'P -2y'
_cell_length_a 3.6469
_cell_length_b 3.6666
_cell_length_c 8.6519
_cell_angle_alpha 90.00
_cell_angle_beta 100.91
_cell_angle_gamma 90.00
loop_
_atom_site_label
_atom_site_fract_x
_atom_site_fract_y
_atom_site_fract_z
Nb1 0.0000 0.0000 0.0000
Te1 0.1450 0.0000 0.3220
H1 0.2360 0.5000 0.0298
H2 0.4631 0.0000 0.9245
Pd1 0.6053 0.5000 0.1865
I1 0.8530 0.5000 0.7420
# Density in g/cm3: 6.66
# Total magnetic moment in μB per atom: 0.000
# Polymorph energy (0 for the lowest one) in meV/atom: 2
# Calculated volume in Å³/cell: 113.6
# Crystal system: monoclinic



Record 3
# LaGaSn2 | Alexandria via LeMat-Bulk | GGA-PBE | relaxed
data_LaGaSn2
_symmetry_space_group_name_H-M 'P 4/m m m'
_symmetry_Int_Tables_number 123
_symmetry_space_group_name_Hall '-P 4 2'
_cell_length_a 4.6346
_cell_length_b 4.6346
_cell_length_c 4.8457
_cell_angle_alpha 90.00
_cell_angle_beta 90.00
_cell_angle_gamma 90.00
loop_
_atom_site_label
_atom_site_fract_x
_atom_site_fract_y
_atom_site_fract_z
La1 0.0000 0.0000 0.0000
Ga1 0.5000 0.5000 0.0000
Sn1 0.0000 0.5000 0.5000
# VASP energy in eV/cell: -18.24
# Density in g/cm3: 7.12
# Total magnetic moment in μB per atom: 0.000
# Calculated volume in Å³/cell: 104.1
# Crystal system: tetragonal



Record 4
# Tb2Zn2Tc2C | Alexandria via LeMat-Bulk | GGA-PBE | relaxed
data_Tb2Zn2Tc2C
_symmetry_space_group_name_H-M 'C 1 2/m 1'
_symmetry_Int_Tables_number 12
_symmetry_space_group_name_Hall '-C 2y'
_cell_length_a 10.9758
_cell_length_b 3.4453
_cell_length_c 6.8120
_cell_angle_alpha 90.00
_cell_angle_beta 107.65
_cell_angle_gamma 90.00
loop_
_atom_site_label
_atom_site_fract_x
_atom_site_fract_y
_atom_site_fract_z
Tb1 0.0086 0.0000 0.2586
Zn1 0.1927 0.5000 0.6108
Tc1 0.1889 0.5000 0.0801
C1 0.0000 0.5000 0.0000
# VASP energy in eV/cell: -86.86
# Density in g/cm3: 8.88
# Total magnetic moment in μB per atom: 0.000
# Calculated volume in Å³/cell: 245.5
# Crystal system: monoclinic



Please write out number 1 again, unchanged.
# PmClO | Alexandria via LeMat-Bulk | GGA-PBE | relaxed
data_PmClO
_symmetry_space_group_name_H-M 'P m m a'
_symmetry_Int_Tables_number 51
_symmetry_space_group_name_Hall '-P 2a 2a'
_cell_length_a 10.1244
_cell_length_b 3.2989
_cell_length_c 3.5319
_cell_angle_alpha 90.00
_cell_angle_beta 90.00
_cell_angle_gamma 90.00
loop_
_atom_site_label
_atom_site_fract_x
_atom_site_fract_y
_atom_site_fract_z
Pm1 0.2500 0.0000 0.0021
Cl1 0.0000 0.5000 0.0000
O1 0.2500 0.5000 0.5004
# Density in g/cm3: 5.53
# Total magnetic moment in μB per atom: 0.000
# Uncorrected formation energy in eV per atom: -2.609
# Calculated volume in Å³/cell: 118.0
# Crystal system: orthorhombic



Q: Which formula does entry 4 have?
A: Tb2Zn2Tc2C